Record 1
Compound: Cd3CoC
Source: Alexandria via LeMat-Bulk
Functional: PBE
Structure: relaxed

Computed properties:
offset from the most stable computed form: 0.5504 eV per atom
VASP energy: -10.59 eV/f.u.
formation energy: 1.70 eV per atom
volume: 120.7 Å³/f.u.

Unit cell a=4.941 b=4.941 c=4.941 alpha=90.00 beta=90.00 gamma=90.00
Atoms (fractional coordinates):
C: 0.500 0.500 0.500
Cd: 0.000 0.000 0.500
Cd: 0.500 0.000 0.000
Cd: 0.000 0.500 0.000
Co: 0.000 0.000 0.000

=====

Record 2
Compound: Cd3CoC
Source: Alexandria via LeMat-Bulk
Functional: PBE
Structure: relaxed

Computed properties:
offset from the most stable computed form: 0.0000 eV per atom
VASP energy: -13.34 eV/f.u.
formation energy: 1.15 eV per atom
volume: 93.2 Å³/f.u.

Unit cell a=4.534 b=4.534 c=4.534 alpha=90.00 beta=90.00 gamma=90.00
Atoms (fractional coordinates):
Cd: 0.000 0.000 0.500
Cd: 0.000 0.500 0.000
Cd: 0.500 0.000 0.000
Co: 0.500 0.500 0.500
C: 0.000 0.000 0.000

=====

Record 3
Compound: CrCdCo2C
Source: Alexandria via LeMat-Bulk
Functional: PBE
Structure: relaxed

Computed properties:
VASP energy: -33.24 eV/f.u.
formation energy: 0.15 eV per atom
volume: 59.8 Å³/f.u.

Unit cell a=3.891 b=3.891 c=3.949 alpha=90.00 beta=90.00 gamma=90.00
Atoms (fractional coordinates):
C: 0.000 0.000 0.000
Cd: 0.500 0.500 0.500
Cr: 0.000 0.000 0.500
Co: 0.000 0.500 0.000
Co: 0.500 0.000 0.000

=====

Record 4
Compound: Dy2CdCoC
Source: Alexandria via LeMat-Bulk
Functional: PBE
Structure: relaxed

Computed properties:
VASP energy: -28.10 eV/f.u.
formation energy: -0.33 eV per atom
volume: 94.7 Å³/f.u.

Unit cell a=3.676 b=5.075 c=5.075 alpha=90.00 beta=90.00 gamma=90.00
Atoms (fractional coordinates):
C: 0.000 0.000 0.000
Co: 0.500 0.000 0.000
Cd: 0.500 0.500 0.500
Dy: 0.000 0.500 0.000
Dy: 0.000 0.000 0.500